# 1
Entry from Alexandria: a relaxed Be2AlSe crystal (GGA-PBE).

Properties
- ΔE_f (raw): 390.1 meV per atom
- Mass density: 3.511 g/cm³
- Polymorph energy (0 for the lowest one): 0.318 eV per atom

a = 2.685 Å, b = 2.685 Å, c = 8.133 Å
α = 90.00°, β = 90.00°, γ = 90.00°
Fractional coordinates of all 4 atoms:
Se  0.000  0.000  0.479
Al  0.500  0.500  0.812
Be  0.000  0.000  0.031
Be  0.500  0.500  0.177

# 2
Entry from Alexandria: a relaxed Be2AlSe crystal (GGA-PBE).

Properties
- ΔE_f (raw): 555.0 meV per atom
- Mass density: 3.669 g/cm³
- Polymorph energy (0 for the lowest one): 0.483 eV per atom

a = 4.645 Å, b = 4.645 Å, c = 4.645 Å
α = 130.83°, β = 130.83°, γ = 72.08°
Fractional coordinates of all 4 atoms:
Se  0.250  0.750  0.500
Al  0.750  0.250  0.500
Be  0.000  0.000  0.000
Be  0.500  0.500  0.000

# 3
Entry from Alexandria: a relaxed Be2AlSe crystal (GGA-PBE).

Properties
- ΔE_f (raw): 272.1 meV per atom
- Mass density: 3.135 g/cm³
- Polymorph energy (0 for the lowest one): 0.200 eV per atom

a = 3.086 Å, b = 3.084 Å, c = 6.898 Å
α = 90.00°, β = 90.00°, γ = 90.00°
Fractional coordinates of all 4 atoms:
Be  0.500  0.500  0.225
Be  0.000  0.000  0.048
Se  0.000  0.000  0.369
Al  0.500  0.500  0.857

# 4
Entry from Alexandria: a relaxed Be2AlSe crystal (GGA-PBE).

Properties
- ΔE_f (raw): 223.7 meV per atom
- Mass density: 3.294 g/cm³
- Polymorph energy (0 for the lowest one): 0.152 eV per atom

a = 3.341 Å, b = 3.586 Å, c = 5.216 Å
α = 89.76°, β = 90.00°, γ = 90.00°
Fractional coordinates of all 4 atoms:
Be  0.000  0.253  0.552
Be  0.000  0.247  0.948
Se  0.500  0.250  0.250
Al  0.500  0.750  0.750

# 5
Entry from Alexandria: a relaxed BeAl3Se crystal (GGA-PBE).

Properties
- ΔE_f (raw): 1031.6 meV per atom
- Mass density: 2.379 g/cm³
- Polymorph energy (0 for the lowest one): 0.886 eV per atom

a = 4.903 Å, b = 4.903 Å, c = 4.903 Å
α = 90.00°, β = 90.00°, γ = 90.00°
Fractional coordinates of all 5 atoms:
Al  0.000  0.500  0.000
Al  0.000  0.000  0.500
Al  0.500  0.000  0.000
Se  0.000  0.000  0.000
Be  0.500  0.500  0.500

# 6
Entry from Alexandria: a relaxed BeAl2Se4 crystal (GGA-PBE).

Properties
- ΔE_f (raw): -797.6 meV per atom
- Mass density: 3.109 g/cm³

a = 5.567 Å, b = 5.567 Å, c = 7.625 Å
α = 111.41°, β = 111.41°, γ = 90.00°
Fractional coordinates of all 7 atoms:
Al  0.500  0.000  0.000
Al  0.000  0.500  0.000
Se  0.338  0.338  0.215
Se  0.123  0.662  0.785
Se  0.662  0.123  0.785
Se  0.877  0.877  0.215
Be  0.000  0.000  0.000

# 7
Entry from Alexandria: a relaxed Be2AlSe crystal (GGA-PBE).

Properties
- ΔE_f (raw): 381.0 meV per atom
- Mass density: 3.630 g/cm³
- Polymorph energy (0 for the lowest one): 0.309 eV per atom

a = 3.334 Å, b = 3.334 Å, c = 5.102 Å
α = 90.00°, β = 90.00°, γ = 90.00°
Fractional coordinates of all 4 atoms:
Al  0.500  0.500  0.750
Be  0.000  0.000  0.533
Be  0.000  0.000  0.967
Se  0.500  0.500  0.250

# 8
Entry from Alexandria: a relaxed Be2AlSe crystal (GGA-PBE).

Properties
- ΔE_f (raw): 452.9 meV per atom
- Mass density: 3.392 g/cm³
- Polymorph energy (0 for the lowest one): 0.381 eV per atom

a = 4.800 Å, b = 4.800 Å, c = 4.800 Å
α = 141.59°, β = 115.05°, γ = 78.05°
Fractional coordinates of all 4 atoms:
Be  0.022  0.022  0.000
Be  0.478  0.478  0.000
Al  0.750  0.250  0.500
Se  0.250  0.750  0.500

Which of these has the highest mass density?
number 2

Among the records above, which one has the highest ΔE_f (raw)?
BeAl3Se